Entry 1:
# Tb5HgBi5 | Alexandria via LeMat-Bulk | PBE | optimized geometry
data_Tb5HgBi5
_chemical_formula_sum 'Tb5 Hg1 Bi5'
_space_group_name_H-M_alt 'P 1'
_space_group_IT_number 1
_space_group_name_Hall 'P 1'
_cell_length_a 7.471
_cell_length_b 7.471
_cell_length_c 9.228
_cell_angle_alpha 107.38
_cell_angle_beta 107.38
_cell_angle_gamma 49.66
loop_
_atom_site_label
_atom_site_type_symbol
_atom_site_fract_x
_atom_site_fract_y
_atom_site_fract_z
Tb1 Tb 0.000 0.000 0.000
Tb2 Tb 0.321 0.321 0.174
Tb3 Tb 0.327 0.327 0.654
Tb4 Tb 0.673 0.673 0.346
Tb5 Tb 0.679 0.679 0.826
Hg1 Hg 0.500 0.500 0.000
Bi1 Bi 0.147 0.147 0.338
Bi2 Bi 0.163 0.163 0.825
Bi3 Bi 0.500 0.500 0.500
Bi4 Bi 0.837 0.837 0.175
Bi5 Bi 0.853 0.853 0.662
# Energy of formation from the pure elements: -0.51 eV/atom
# M_tot: 0.13 Bohr magnetons per cell

---

Entry 2:
# PuPaTaTi | Alexandria via LeMat-Bulk | PBE | optimized geometry
data_PuPaTaTi
_chemical_formula_sum 'Pu1 Pa1 Ta1 Ti1'
_space_group_name_H-M_alt 'P 1'
_space_group_IT_number 1
_space_group_name_Hall 'P 1'
_cell_length_a 4.878
_cell_length_b 4.878
_cell_length_c 4.878
_cell_angle_alpha 60.00
_cell_angle_beta 60.00
_cell_angle_gamma 60.00
loop_
_atom_site_label
_atom_site_type_symbol
_atom_site_fract_x
_atom_site_fract_y
_atom_site_fract_z
Pu1 Pu 0.000 0.000 0.000
Pa1 Pa 0.250 0.250 0.250
Ta1 Ta 0.500 0.500 0.500
Ti1 Ti 0.750 0.750 0.750
# Energy of formation from the pure elements: 0.13 eV/atom
# M_tot: 5.89 Bohr magnetons per cell

---

Entry 3:
# Pm8PrSm2 | Alexandria via LeMat-Bulk | PBE | optimized geometry
data_Pm8PrSm2
_chemical_formula_sum 'Pm8 Pr1 Sm2'
_space_group_name_H-M_alt 'P 1'
_space_group_IT_number 1
_space_group_name_Hall 'P 1'
_cell_length_a 7.015
_cell_length_b 7.015
_cell_length_c 9.180
_cell_angle_alpha 100.87
_cell_angle_beta 100.87
_cell_angle_gamma 60.85
loop_
_atom_site_label
_atom_site_type_symbol
_atom_site_fract_x
_atom_site_fract_y
_atom_site_fract_z
Pm1 Pm 0.155 0.155 0.001
Pm2 Pm 0.169 0.720 0.674
Pm3 Pm 0.209 0.209 0.659
Pm4 Pm 0.280 0.831 0.326
Pm5 Pm 0.720 0.169 0.674
Pm6 Pm 0.791 0.791 0.341
Pm7 Pm 0.831 0.280 0.326
Pm8 Pm 0.845 0.845 0.999
Pr1 Pr 0.500 0.500 0.000
Sm1 Sm 0.332 0.332 0.344
Sm2 Sm 0.668 0.668 0.656
# Relative energy among the computed polymorphs: 0.000 eV/atom
# Energy of formation from the pure elements: 0.14 eV/atom
# M_tot: 0.00 Bohr magnetons per cell